Compound: PmAsRu2C
Source: Alexandria
Functional: PBE-GGA
Structure: relaxed

a b c (Å): 3.9771 11.1424 7.3308
angles (deg): 90.00 90.00 90.00
Closest atoms and distances in Å follow each position.
Space group Cmcm (No. 63)
Asymmetric unit:
Pm 0.0000 0.0464 0.2500 x4  4 C 2.75, 1 As 3.08
As 0.0000 0.2302 0.7500 x4  6 Ru 2.52-2.57
Ru 0.0000 0.3368 0.0537 x8  1 C 1.86
C 0.0000 0.5000 0.0000 x4  2 Ru 1.86

Values from the calculation:
**N(E_F)**: 2.43 states/eV/f.u.
**Energy of formation**: -0.54 eV per atom

***

Compound: Pr2YAl2
Source: Alexandria
Functional: PBE-GGA
Structure: relaxed

a b c (Å): 4.9756 6.8712 8.1459
angles (deg): 90.00 90.00 90.00
Closest atoms and distances in Å follow each position.
Space group Immm (No. 71)
Asymmetric unit:
Pr 0.0000 0.0000 0.1972 x4  1 Pr 3.21, 6 Al 3.22-3.26, 2 Y 3.50
Y 0.0000 0.5000 0.0000 x2  4 Al 3.24, 4 Pr 3.50
Al 0.0000 0.3021 0.5000 x4  1 Al 2.72

Values from the calculation:
**Offset from the most stable computed form**: 0.0000 eV per atom
**N(E_F)**: 4.37 states/eV/f.u.
**Energy of formation**: -0.31 eV per atom